No. 1
The following is a DFT calculation (PBE) of a geometry-optimized LiRhAu2 structure.

Geometry as POSCAR:
```
LiRhAu2
1.0
9.2718 -0.0002 -0.0001
8.8392 2.7991 -0.0001
8.8392 1.3660 2.4431
Au Rh Li
2 1 1
Direct
0.9969 0.9969 0.9969
0.5031 0.5031 0.5031
0.7500 0.7500 0.7500
0.2500 0.2500 0.2500
```

Values from the calculation:
E_form   -0.09 eV per atom
Total moment   0.150 μB per atom
N(E_F)   2.592 states/eV per cell

---

No. 2
The following is a DFT calculation (PBE) of a geometry-optimized Pm4CuOs structure.

Geometry as POSCAR:
```
Pm4CuOs
1.0
8.4110 0.0000 4.8561
2.8037 7.9300 4.8561
0.0000 0.0000 9.7122
Os Pm Cu
4 16 4
Direct
0.6114 0.6114 0.1657
0.6114 0.1657 0.6114
0.1657 0.6114 0.6114
0.6114 0.6114 0.6114
0.8103 0.1897 0.1897
0.4000 0.4000 0.4000
0.4000 0.4000 0.8000
0.9442 0.5558 0.9442
0.5558 0.9442 0.5558
0.1897 0.8103 0.8103
0.8103 0.8103 0.1897
0.9442 0.9442 0.5558
0.9442 0.5558 0.5558
0.8103 0.1897 0.8103
0.1897 0.8103 0.1897
0.4000 0.8000 0.4000
0.8000 0.4000 0.4000
0.1897 0.1897 0.8103
0.5558 0.9442 0.9442
0.5558 0.5558 0.9442
0.1693 0.4922 0.1693
0.4922 0.1693 0.1693
0.1693 0.1693 0.1693
0.1693 0.1693 0.4922
```

Values from the calculation:
E_form   -0.08 eV per atom
Total moment   0.000 μB per atom
N(E_F)   24.821 states/eV per cell

---

No. 3
The following is a DFT calculation (PBE) of a geometry-optimized Ho4TmTl structure.

Geometry as POSCAR:
```
Ho4TmTl
1.0
-0.6317 0.8844 -3.3872
-0.7978 -3.3877 -0.7357
-13.5389 2.4984 3.1772
Ho Tm Tl
4 1 1
Direct
0.0000 0.0000 0.3488
0.0000 0.0000 0.6512
0.5000 0.5000 0.1739
0.5000 0.5000 0.8261
0.0000 0.0000 0.0000
0.5000 0.5000 0.5000
```

Values from the calculation:
E_form   -0.10 eV per atom
Total moment   0.000 μB per atom
N(E_F)   6.430 states/eV per cell

---

Repeat the second record exactly.
The following is a DFT calculation (PBE) of a geometry-optimized Pm4CuOs structure.

Geometry as POSCAR:
```
Pm4CuOs
1.0
8.4110 0.0000 4.8561
2.8037 7.9300 4.8561
0.0000 0.0000 9.7122
Os Pm Cu
4 16 4
Direct
0.6114 0.6114 0.1657
0.6114 0.1657 0.6114
0.1657 0.6114 0.6114
0.6114 0.6114 0.6114
0.8103 0.1897 0.1897
0.4000 0.4000 0.4000
0.4000 0.4000 0.8000
0.9442 0.5558 0.9442
0.5558 0.9442 0.5558
0.1897 0.8103 0.8103
0.8103 0.8103 0.1897
0.9442 0.9442 0.5558
0.9442 0.5558 0.5558
0.8103 0.1897 0.8103
0.1897 0.8103 0.1897
0.4000 0.8000 0.4000
0.8000 0.4000 0.4000
0.1897 0.1897 0.8103
0.5558 0.9442 0.9442
0.5558 0.5558 0.9442
0.1693 0.4922 0.1693
0.4922 0.1693 0.1693
0.1693 0.1693 0.1693
0.1693 0.1693 0.4922
```

Values from the calculation:
E_form   -0.08 eV per atom
Total moment   0.000 μB per atom
N(E_F)   24.821 states/eV per cell

---

- Look up the E_form of the first one.
  -0.09 eV per atom